{
  "formula": "NbZn2Pt",
  "functional": "GGA-PBE",
  "state": "optimized geometry",
  "cell": [[2.8793, 0.0000, 0.0000], [0.0000, 2.8793, 0.0000], [0.0000, 0.0000, 7.4827]],
  "species": ["Nb", "Zn", "Zn", "Pt"],
  "frac_coords": [[0.5000, 0.5000, 0.5000], [0.0000, 0.0000, 0.7684], [0.0000, 0.0000, 0.2316], [0.5000, 0.5000, 0.0000]],
  "dft_energy_ev_per_cell": -19.78,
  "formation_energy_ev_per_atom": -0.282,
  "total_magnetization_mub_per_fu": 0.00
}


{
  "formula": "AsIrPt2",
  "functional": "GGA-PBE",
  "state": "optimized geometry",
  "cell": [[8.7319, 0.0036, 0.0021], [8.2481, 2.8660, 0.0021], [8.2481, 1.3939, 2.5042]],
  "species": ["As", "Ir", "Pt", "Pt"],
  "frac_coords": [[0.4969, 0.4969, 0.4969], [0.7571, 0.7571, 0.7571], [0.0014, 0.0014, 0.0014], [0.2446, 0.2446, 0.2446]],
  "dft_energy_ev_per_cell": -25.46,
  "formation_energy_ev_per_atom": 0.033,
  "total_magnetization_mub_per_fu": 0.00
}


{
  "formula": "Th2CdH",
  "functional": "GGA-PBE",
  "state": "optimized geometry",
  "cell": [[3.4712, 0.0007, -0.0018], [1.7362, 3.0058, -0.0018], [1.7312, 0.9995, 8.7954]],
  "species": ["Th", "Th", "Cd", "H"],
  "frac_coords": [[0.0616, 0.0616, 0.8159], [0.2724, 0.2724, 0.1823], [0.4997, 0.4997, 0.5005], [0.6663, 0.6663, 0.0012]],
  "dft_energy_ev_per_cell": -19.52,
  "total_magnetization_mub_per_fu": 0.00
}


{
  "formula": "PaTlTcN4",
  "functional": "GGA-PBE",
  "state": "optimized geometry",
  "cell": [[6.1353, 0.0000, 0.0952], [0.0000, 5.7659, 0.0000], [-2.2783, 0.0000, 7.5198]],
  "species": ["Pa", "Pa", "Tl", "Tl", "Tc", "Tc", "N", "N", "N", "N", "N", "N", "N", "N"],
  "frac_coords": [[0.7966, 0.7500, 0.4430], [0.2034, 0.2500, 0.5570], [0.7020, 0.7500, 0.9119], [0.2980, 0.2500, 0.0881], [0.2653, 0.7500, 0.3527], [0.7347, 0.2500, 0.6473], [0.9535, 0.4875, 0.6584], [0.0465, 0.9875, 0.3416], [0.0465, 0.5125, 0.3416], [0.9535, 0.0125, 0.6584], [0.4573, 0.7500, 0.2134], [0.5427, 0.2500, 0.7866], [0.4728, 0.7500, 0.5638], [0.5272, 0.2500, 0.4362]],
  "dft_energy_ev_per_cell": -115.74,
  "e_form_raw_ev_per_fu": -2.339,
  "total_magnetization_mub_per_fu": 0.00
}


{
  "formula": "PuMgGaFe",
  "functional": "GGA-PBE",
  "state": "optimized geometry",
  "cell": [[-2.5300, -0.2310, -4.0034], [1.1597, -3.1385, -3.3595], [-2.8008, -3.7364, -0.8221]],
  "species": ["Mg", "Fe", "Ga", "Pu"],
  "frac_coords": [[0.2500, 0.2500, 0.2500], [0.0000, 0.0000, 0.0000], [0.5000, 0.5000, 0.5000], [0.7500, 0.7500, 0.7500]],
  "dft_energy_ev_per_cell": -27.30,
  "formation_energy_ev_per_atom": 0.029,
  "total_magnetization_mub_per_fu": 2.78
}


{
  "formula": "ZrMo2",
  "functional": "GGA-PBE",
  "state": "optimized geometry",
  "cell": [[-1.5180, -1.8664, 4.8822], [5.2242, 1.1923, -0.9537], [-1.3601, 8.0975, 2.6727]],
  "species": ["Zr", "Zr", "Zr", "Zr", "Mo", "Mo", "Mo", "Mo", "Mo", "Mo", "Mo", "Mo"],
  "frac_coords": [[0.3333, 0.6667, 0.0602], [0.6667, 0.3333, 0.5602], [0.6667, 0.3333, 0.9398], [0.3333, 0.6667, 0.4398], [0.0000, 0.0000, 0.0000], [0.0000, 0.0000, 0.5000], [0.8304, 0.6607, 0.2500], [0.1696, 0.3393, 0.7500], [0.3393, 0.1696, 0.2500], [0.8304, 0.1696, 0.2500], [0.1696, 0.8304, 0.7500], [0.6607, 0.8304, 0.7500]],
  "dft_energy_ev_per_cell": -122.26,
  "formation_energy_ev_per_atom": -0.118,
  "total_magnetization_mub_per_fu": 0.00
}


{
  "formula": "MgPPt3",
  "functional": "GGA-PBE",
  "state": "optimized geometry",
  "cell": [[4.7342, 0.0000, 0.0001], [0.0000, 6.3512, -0.0001], [-0.0001, -0.0001, 5.5220]],
  "species": ["Mg", "Mg", "P", "P", "Pt", "Pt", "Pt", "Pt", "Pt", "Pt"],
  "frac_coords": [[0.5510, 0.3087, 0.2992], [0.0510, 0.0440, 0.7992], [0.8921, 0.7217, 0.2992], [0.3921, 0.6311, 0.7992], [0.5576, 0.2917, 0.7992], [0.5606, 0.9013, 0.0489], [0.0606, 0.4515, 0.5489], [0.0576, 0.0611, 0.2992], [0.0606, 0.4515, 0.0496], [0.5606, 0.9013, 0.5496]],
  "dft_energy_ev_per_cell": -56.21,
  "formation_energy_ev_per_atom": -0.596,
  "total_magnetization_mub_per_fu": 0.00
}


{
  "formula": "CrFe3",
  "functional": "GGA-PBE",
  "state": "optimized geometry",
  "cell": [[2.4767, 0.0000, 0.0000], [-1.2384, 4.1028, 0.0015], [0.0000, -0.7320, 4.2451]],
  "species": ["Cr", "Fe", "Fe", "Fe"],
  "frac_coords": [[0.0000, 0.0000, 0.0000], [0.7521, 0.5043, 0.2559], [0.5000, 0.0000, 0.5000], [0.2479, 0.4957, 0.7441]],
  "dft_energy_ev_per_cell": -34.45,
  "formation_energy_ev_per_atom": 0.141,
  "total_magnetization_mub_per_fu": 2.11
}


{
  "formula": "Na2BiTeH",
  "functional": "GGA-PBE",
  "state": "optimized geometry",
  "cell": [[-3.2757, -2.7811, -2.6924], [3.8511, -2.6971, -1.8996], [-0.3543, -2.9712, 3.5003]],
  "species": ["Na", "Na", "Te", "Bi", "H"],
  "frac_coords": [[0.0000, 0.5000, 0.0000], [0.5000, 0.0000, 0.0000], [0.5000, 0.5000, 0.5000], [0.0000, 0.0000, 0.5000], [0.0000, 0.0000, 0.0000]],
  "dft_energy_ev_per_cell": -14.32,
  "total_magnetization_mub_per_fu": 0.00
}


{
  "formula": "Sm3HoTm2",
  "functional": "GGA-PBE",
  "state": "optimized geometry",
  "cell": [[5.6039, 0.0000, 0.0000], [0.0000, 8.3526, -3.2325], [0.0000, -0.2668, 8.9523]],
  "species": ["Sm", "Sm", "Sm", "Sm", "Sm", "Sm", "Ho", "Ho", "Tm", "Tm", "Tm", "Tm"],
  "frac_coords": [[0.9930, 0.8881, 0.3756], [0.4930, 0.6244, 0.1119], [0.9930, 0.3756, 0.8881], [0.4930, 0.1119, 0.6244], [0.4930, 0.9119, 0.9119], [0.9930, 0.0881, 0.0881], [0.9930, 0.7258, 0.7258], [0.4930, 0.2742, 0.2742], [0.4930, 0.7046, 0.4926], [0.9930, 0.5074, 0.2954], [0.4930, 0.4926, 0.7046], [0.9930, 0.2954, 0.5074]],
  "dft_energy_ev_per_cell": -51.73,
  "formation_energy_ev_per_atom": 0.302,
  "total_magnetization_mub_per_fu": 0.00
}


{
  "formula": "Ca2SBr",
  "functional": "GGA-PBE",
  "state": "optimized geometry",
  "cell": [[-3.8692, -1.2009, 0.3003], [-1.5349, -2.6044, -2.7137], [0.2641, -6.8707, 3.4038]],
  "species": ["Ca", "Ca", "S", "Br"],
  "frac_coords": [[0.0687, 0.0687, 0.7938], [0.2651, 0.2651, 0.2046], [0.6706, 0.6706, 0.9883], [0.4956, 0.4956, 0.5133]],
  "dft_energy_ev_per_cell": -16.64,
  "e_form_raw_ev_per_fu": -6.838,
  "total_magnetization_mub_per_fu": 0.74
}


{
  "formula": "MgTa2Se",
  "functional": "GGA-PBE",
  "state": "optimized geometry",
  "cell": [[5.2277, 0.0000, 0.0000], [2.0843, 4.7942, 0.0000], [-3.6560, -2.3971, 2.8664]],
  "species": ["Mg", "Se", "Ta", "Ta"],
  "frac_coords": [[0.5000, 0.5000, 0.0000], [0.7500, 0.2500, 0.5000], [0.0000, 0.0000, 0.0000], [0.2500, 0.7500, 0.5000]],
  "dft_energy_ev_per_cell": -27.40,
  "e_form_raw_ev_per_fu": 1.382,
  "total_magnetization_mub_per_fu": 0.00
}


- What is the formula in the second record?
  AsIrPt2